1.
VCd3H | PBE | relaxed

Unit cell a=4.416 b=4.416 c=4.416 alpha=90.00 beta=90.00 gamma=90.00
Fractional coordinates of all 5 atoms:
H (0.000, 0.000, 0.000)
Cd (0.500, 0.000, 0.000)
V (0.500, 0.500, 0.500)
Cd (0.000, 0.500, 0.000)
Cd (0.000, 0.000, 0.500)

Values from the calculation:
- Space group: Pm-3m (221)
- Energy above the most stable polymorph in this dataset: 0 meV/atom
- Volume: 17.22 Å³/atom

2.
VCdH3 | PBE | relaxed

Unit cell a=3.584 b=3.584 c=3.584 alpha=90.00 beta=90.00 gamma=90.00
Fractional coordinates of all 5 atoms:
V (0.000, 0.000, 0.000)
H (0.000, 0.000, 0.500)
H (0.000, 0.500, 0.000)
H (0.500, 0.000, 0.000)
Cd (0.500, 0.500, 0.500)

Values from the calculation:
- Space group: Pm-3m (221)
- Energy above the most stable polymorph in this dataset: 0 meV/atom
- Volume: 9.21 Å³/atom

3.
VCd3H | PBE | relaxed

Unit cell a=5.448 b=5.448 c=5.448 alpha=90.00 beta=90.00 gamma=90.00
Fractional coordinates of all 5 atoms:
Cd (0.000, 0.500, 0.000)
Cd (0.500, 0.000, 0.000)
V (0.000, 0.000, 0.000)
Cd (0.000, 0.000, 0.500)
H (0.500, 0.500, 0.500)

Values from the calculation:
- Space group: Pm-3m (221)
- Energy above the most stable polymorph in this dataset: 609 meV/atom
- Volume: 32.33 Å³/atom

4.
VCdH3 | PBE | relaxed

Unit cell a=3.823 b=3.823 c=3.823 alpha=90.00 beta=90.00 gamma=90.00
Fractional coordinates of all 5 atoms:
H (0.000, 0.000, 0.500)
V (0.500, 0.500, 0.500)
H (0.000, 0.500, 0.000)
H (0.500, 0.000, 0.000)
Cd (0.000, 0.000, 0.000)

Values from the calculation:
- Space group: Pm-3m (221)
- Energy above the most stable polymorph in this dataset: 656 meV/atom
- Volume: 11.17 Å³/atom

5.
V2CdH | PBE | relaxed

Unit cell a=2.741 b=2.741 c=8.258 alpha=80.45 beta=80.45 gamma=60.00
Fractional coordinates of all 4 atoms:
Cd (0.000, 0.000, 0.000)
V (0.882, 0.882, 0.354)
H (0.500, 0.500, 0.500)
V (0.118, 0.118, 0.646)

Values from the calculation:
- Space group: R-3m (166)
- Energy above the most stable polymorph in this dataset: 80 meV/atom
- Volume: 13.19 Å³/atom

6.
V2CdH2 | PBE | relaxed

Unit cell a=3.366 b=3.366 c=5.220 alpha=71.19 beta=71.19 gamma=90.00
Fractional coordinates of all 5 atoms:
H (0.250, 0.750, 0.500)
V (0.319, 0.319, 0.362)
V (0.681, 0.681, 0.638)
H (0.750, 0.250, 0.500)
Cd (0.000, 0.000, 0.000)

Values from the calculation:
- E: -25.993 eV per cell
- Space group: I4/mmm (139)
- Volume: 10.53 Å³/atom

7.
V2CdH | PBE | relaxed

Unit cell a=4.296 b=4.296 c=4.296 alpha=60.00 beta=60.00 gamma=60.00
Fractional coordinates of all 4 atoms:
Cd (0.500, 0.500, 0.500)
V (0.250, 0.250, 0.250)
H (0.000, 0.000, 0.000)
V (0.750, 0.750, 0.750)

Values from the calculation:
- Space group: Fm-3m (225)
- Energy above the most stable polymorph in this dataset: 741 meV/atom
- Volume: 14.01 Å³/atom

8.
VCd2H2 | PBE | relaxed

Unit cell a=5.573 b=5.573 c=4.468 alpha=90.00 beta=90.00 gamma=90.00
Fractional coordinates of all 10 atoms:
H (0.783, 0.283, 0.000)
Cd (0.689, 0.811, 0.500)
H (0.217, 0.717, 0.000)
H (0.717, 0.783, 0.000)
H (0.283, 0.217, 0.000)
Cd (0.189, 0.689, 0.500)
V (0.000, 0.000, 0.000)
Cd (0.311, 0.189, 0.500)
V (0.500, 0.500, 0.000)
Cd (0.811, 0.311, 0.500)

Values from the calculation:
- E: -32.605 eV per cell
- Space group: P4/mbm (127)
- Volume: 13.88 Å³/atom

9.
Y2VCdH | PBE | relaxed

Unit cell a=5.144 b=5.144 c=3.765 alpha=90.00 beta=90.00 gamma=90.00
Fractional coordinates of all 5 atoms:
Y (0.000, 0.500, 0.000)
Cd (0.500, 0.500, 0.500)
H (0.000, 0.000, 0.000)
V (0.000, 0.000, 0.500)
Y (0.500, 0.000, 0.000)

Values from the calculation:
- E: -26.837 eV per cell
- Space group: P4/mmm (123)
- Volume: 19.92 Å³/atom

10.
Zr2VCdH | PBE | relaxed

Unit cell a=4.507 b=4.507 c=4.011 alpha=90.00 beta=90.00 gamma=90.00
Fractional coordinates of all 5 atoms:
Cd (0.500, 0.500, 0.500)
Zr (0.000, 0.500, 0.000)
V (0.000, 0.000, 0.500)
H (0.000, 0.000, 0.000)
Zr (0.500, 0.000, 0.000)

Values from the calculation:
- E: -30.853 eV per cell
- Space group: P4/mmm (123)
- Volume: 16.29 Å³/atom

11.
Cd3HW | PBE | relaxed

Unit cell a=5.557 b=5.557 c=5.557 alpha=90.00 beta=90.00 gamma=90.00
Fractional coordinates of all 5 atoms:
W (0.000, 0.000, 0.000)
H (0.500, 0.500, 0.500)
Cd (0.000, 0.500, 0.000)
Cd (0.000, 0.000, 0.500)
Cd (0.500, 0.000, 0.000)

Values from the calculation:
- Space group: Pm-3m (221)
- Energy above the most stable polymorph in this dataset: 719 meV/atom
- Volume: 34.32 Å³/atom

12.
Cd3HW | PBE | relaxed

Unit cell a=4.322 b=4.322 c=4.322 alpha=90.00 beta=90.00 gamma=90.00
Fractional coordinates of all 5 atoms:
Cd (0.000, 0.000, 0.500)
H (0.000, 0.000, 0.000)
W (0.500, 0.500, 0.500)
Cd (0.500, 0.000, 0.000)
Cd (0.000, 0.500, 0.000)

Values from the calculation:
- Space group: Pm-3m (221)
- Energy above the most stable polymorph in this dataset: 0 meV/atom
- Volume: 16.14 Å³/atom

Number 1: Fermi-level density of states 0.79 states/eV per atom. Number 2: Fermi-level density of states 0.30 states/eV per atom. Number 3: Fermi-level density of states 0.94 states/eV per atom. Number 4: Fermi-level density of states 0.62 states/eV per atom. Number 5: Fermi-level density of states 1.40 states/eV per atom. Number 6: Fermi-level density of states 0.49 states/eV per atom. Number 7: Fermi-level density of states 1.13 states/eV per atom. Number 8: Fermi-level density of states 0.62 states/eV per atom. Number 9: Fermi-level density of states 0.85 states/eV per atom. Number 10: Fermi-level density of states 0.63 states/eV per atom. Number 11: Fermi-level density of states 0.43 states/eV per atom. Number 12: Fermi-level density of states 0.81 states/eV per atom.